1.
Below is a PBEsol-optimized structure of MgCd3Sb, with properties calculated at the meta-GGA SCAN level.

Cell: 5.5841 5.5841 5.5841 Å, 90.00 90.00 90.00°
Positions (direct):
Mg 0.0000 0.0000 0.0000
Cd 0.0000 0.5000 0.5000
Cd 0.5000 0.0000 0.5000
Cd 0.5000 0.5000 0.0000
Sb 0.5000 0.5000 0.5000

Properties
The value obtained for the total energy is -26.23 eV/atom. The symmetry is Pm-3m, No. 221. The formation energy without anion corrections is 0.47 eV per atom. Its crystal system is cubic.

2.
Below is a PBEsol-optimized structure of SrMgMnP2O8, with properties calculated at the meta-GGA SCAN level.

Cell: 5.5485 6.6498 9.3870 Å, 109.85 101.46 98.29°
Positions (direct):
Sr 0.2434 0.2022 0.4478
Sr 0.7566 0.7978 0.5522
Mg 0.4994 0.5875 0.8501
Mg 0.5006 0.4125 0.1499
Mn 0.1344 0.8396 0.0576
Mn 0.8656 0.1604 0.9424
P 0.1156 0.5794 0.2709
P 0.3358 0.0260 0.8004
P 0.6642 0.9740 0.1996
P 0.8844 0.4206 0.7291
O 0.1098 0.9513 0.8607
O 0.1266 0.4224 0.1056
O 0.1458 0.4766 0.7002
O 0.1726 0.8153 0.2766
O 0.2442 0.9949 0.6287
O 0.3355 0.5442 0.3833
O 0.4640 0.1133 0.1785
O 0.4724 0.2720 0.9105
O 0.5276 0.7280 0.0895
O 0.5360 0.8867 0.8215
O 0.6645 0.4558 0.6167
O 0.7558 0.0051 0.3713
O 0.8274 0.1847 0.7234
O 0.8542 0.5234 0.2998
O 0.8734 0.5776 0.8944
O 0.8902 0.0487 0.1393

Properties
The value obtained for the total energy is -11.77 eV/atom. The symmetry is P-1, No. 2. The formation energy without anion corrections is -2.83 eV per atom. Its crystal system is triclinic.

3.
Below is a PBEsol-optimized structure of Sr2NbRePd, with properties calculated at the meta-GGA SCAN level.

Cell: 5.8340 5.8340 4.5511 Å, 90.00 90.00 90.00°
Positions (direct):
Sr 0.0000 0.5000 0.0000
Sr 0.5000 0.0000 0.0000
Nb 0.0000 0.0000 0.0000
Re 0.0000 0.0000 0.5000
Pd 0.5000 0.5000 0.5000

Properties
The value obtained for the total energy is -35.02 eV/atom. The symmetry is P4/mmm, No. 123. The value obtained for the calculated formation energy is 1293 meV per atom. Its crystal system is tetragonal.

4.
Below is a PBEsol-optimized structure of NiHgSe2, with properties calculated at the meta-GGA SCAN level.

Cell: 4.9469 4.9469 4.9469 Å, 128.58 128.58 75.68°
Positions (direct):
Ni 0.0000 0.0000 0.0000
Hg 0.5000 0.5000 0.0000
Se 0.2500 0.7500 0.5000
Se 0.7500 0.2500 0.5000

Properties
The value obtained for the total energy is -30.50 eV/atom. The symmetry is I4/mmm, No. 139. The formation energy without anion corrections is 0.62 eV per atom. Its crystal system is tetragonal.

5.
Below is a PBEsol-optimized structure of Lu2S3, with properties calculated at the meta-GGA SCAN level.

Cell: 10.2957 3.7241 10.1258 Å, 90.00 90.00 90.00°
Positions (direct):
Lu 0.0118 0.2500 0.1873
Lu 0.1933 0.2500 0.5016
Lu 0.3067 0.7500 0.0016
Lu 0.4882 0.7500 0.6873
Lu 0.5118 0.2500 0.3127
Lu 0.6933 0.2500 0.9984
Lu 0.8067 0.7500 0.4984
Lu 0.9882 0.7500 0.8127
S 0.0451 0.7500 0.3743
S 0.1190 0.2500 0.9441
S 0.2268 0.7500 0.6961
S 0.2732 0.2500 0.1961
S 0.3810 0.7500 0.4441
S 0.4549 0.2500 0.8743
S 0.5451 0.7500 0.1257
S 0.6190 0.2500 0.5559
S 0.7268 0.7500 0.8039
S 0.7732 0.2500 0.3039
S 0.8810 0.7500 0.0559
S 0.9549 0.2500 0.6257

Properties
The value obtained for the total energy is -30.21 eV/atom. The symmetry is Pnma, No. 62. The formation energy without anion corrections is -2.29 eV per atom. Its crystal system is orthorhombic.

6.
Below is a PBEsol-optimized structure of LaScSi, with properties calculated at the meta-GGA SCAN level.

Cell: 7.0828 7.0828 7.0828 Å, 153.40 153.40 37.97°
Positions (direct):
La 0.0000 0.0000 0.0000
Sc 0.2715 0.2715 0.0000
Si 0.6524 0.6524 0.0000

Properties
Its excess energy over the best structure of this formula in the dataset is 360 meV/atom. The value obtained for the total energy is -22.77 eV/atom. The symmetry is I4mm, No. 107. The formation energy without anion corrections is -0.32 eV per atom. Its crystal system is tetragonal.

7.
Below is a PBEsol-optimized structure of KVS2O8, with properties calculated at the meta-GGA SCAN level.

Cell: 8.4593 8.4593 8.4593 Å, 32.92 32.92 32.92°
Positions (direct):
K 0.0000 0.0000 0.0000
V 0.5000 0.5000 0.5000
S 0.2369 0.2369 0.2369
S 0.7631 0.7631 0.7631
O 0.0921 0.7527 0.5077
O 0.2473 0.4923 0.9079
O 0.2976 0.2976 0.2976
O 0.4923 0.9079 0.2473
O 0.5077 0.0921 0.7527
O 0.7024 0.7024 0.7024
O 0.7527 0.5077 0.0921
O 0.9079 0.2473 0.4923

Properties
The value obtained for the total energy is -9.92 eV/atom. The symmetry is R-3, No. 148. The formation energy without anion corrections is -2.01 eV per atom. Its crystal system is trigonal.

8.
Below is a PBEsol-optimized structure of Cs2S3, with properties calculated at the meta-GGA SCAN level.

Cell: 6.6554 6.6554 7.9619 Å, 90.00 90.00 110.88°
Positions (direct):
Cs 0.0767 0.9233 0.5000
Cs 0.3976 0.6024 0.7275
Cs 0.6024 0.3976 0.2275
Cs 0.9233 0.0767 0.0000
S 0.1152 0.4402 0.3435
S 0.2966 0.7034 0.1993
S 0.4402 0.1152 0.8435
S 0.5598 0.8848 0.3435
S 0.7034 0.2966 0.6993
S 0.8848 0.5598 0.8435

Properties
The value obtained for the total energy is -21.88 eV/atom. The symmetry is Cmc2_1, No. 36. The formation energy without anion corrections is -0.98 eV per atom. Its crystal system is orthorhombic.

Magnetization across the listed records, respectively: 0.000; 10.000; 0.000; 0.899; 0.000; 0.000; 2.000; 0.000 μB per cell.